Entry 1:
# Ac8GeRu3I3, optimized geometry, DFT PBE
data_Ac8GeRu3I3
_cell_length_a 9.8178
_cell_length_b 9.8178
_cell_length_c 9.8178
_cell_angle_alpha 53.98
_cell_angle_beta 53.98
_cell_angle_gamma 53.98
_symmetry_space_group_name_H-M 'P 1'
_symmetry_Int_Tables_number 1
loop_
_symmetry_equiv_pos_as_xyz
'x,y,z'
loop_
_atom_site_label
_atom_site_type_symbol
_atom_site_fract_x
_atom_site_fract_y
_atom_site_fract_z
Ac1 Ac 0.2098 0.7378 0.7378
Ac2 Ac 0.2316 0.2316 0.2316
Ac3 Ac 0.2622 0.2622 0.7902
Ac4 Ac 0.2622 0.7902 0.2622
Ac5 Ac 0.7378 0.2098 0.7378
Ac6 Ac 0.7378 0.7378 0.2098
Ac7 Ac 0.7684 0.7684 0.7684
Ac8 Ac 0.7902 0.2622 0.2622
Ge1 Ge 0.5000 0.5000 0.5000
Ru1 Ru 0.0000 0.0000 0.5000
Ru2 Ru 0.0000 0.5000 0.0000
Ru3 Ru 0.5000 0.0000 0.0000
I1 I 0.0000 0.5000 0.5000
I2 I 0.5000 0.0000 0.5000
I3 I 0.5000 0.5000 0.0000
# * raw formation energy: -60.9 kJ/mol of atoms

Entry 2:
# PmMgIn2Ag2, optimized geometry, DFT PBE
data_PmMgIn2Ag2
_cell_length_a 4.8277
_cell_length_b 4.8277
_cell_length_c 6.8429
_cell_angle_alpha 90.00
_cell_angle_beta 90.00
_cell_angle_gamma 120.00
_symmetry_space_group_name_H-M 'P 1'
_symmetry_Int_Tables_number 1
loop_
_symmetry_equiv_pos_as_xyz
'x,y,z'
loop_
_atom_site_label
_atom_site_type_symbol
_atom_site_fract_x
_atom_site_fract_y
_atom_site_fract_z
Pm1 Pm 0.0000 0.0000 0.0000
Mg1 Mg 0.0000 0.0000 0.5000
In1 In 0.3333 0.6667 0.2544
In2 In 0.6667 0.3333 0.7456
Ag1 Ag 0.3333 0.6667 0.7164
Ag2 Ag 0.6667 0.3333 0.2836
# * energy of formation: -294 meV per atom

Entry 3:
# ZrBe2Pd, optimized geometry, DFT PBE
data_ZrBe2Pd
_cell_length_a 5.9694
_cell_length_b 5.9694
_cell_length_c 5.9694
_cell_angle_alpha 90.00
_cell_angle_beta 90.00
_cell_angle_gamma 90.00
_symmetry_space_group_name_H-M 'P 1'
_symmetry_Int_Tables_number 1
loop_
_symmetry_equiv_pos_as_xyz
'x,y,z'
loop_
_atom_site_label
_atom_site_type_symbol
_atom_site_fract_x
_atom_site_fract_y
_atom_site_fract_z
Zr1 Zr 0.0000 0.0000 0.0000
Zr2 Zr 0.0000 0.5000 0.5000
Zr3 Zr 0.5000 0.0000 0.5000
Zr4 Zr 0.5000 0.5000 0.0000
Be1 Be 0.2500 0.2500 0.2500
Be2 Be 0.2500 0.2500 0.7500
Be3 Be 0.2500 0.7500 0.2500
Be4 Be 0.2500 0.7500 0.7500
Be5 Be 0.7500 0.2500 0.2500
Be6 Be 0.7500 0.2500 0.7500
Be7 Be 0.7500 0.7500 0.2500
Be8 Be 0.7500 0.7500 0.7500
Pd1 Pd 0.0000 0.0000 0.5000
Pd2 Pd 0.0000 0.5000 0.0000
Pd3 Pd 0.5000 0.0000 0.0000
Pd4 Pd 0.5000 0.5000 0.5000
# * energy of formation: -329 meV per atom

Entry 4:
# Cd2N2F, optimized geometry, DFT PBE
data_Cd2N2F
_cell_length_a 3.5436
_cell_length_b 3.5445
_cell_length_c 7.2862
_cell_angle_alpha 103.42
_cell_angle_beta 90.92
_cell_angle_gamma 118.57
_symmetry_space_group_name_H-M 'P 1'
_symmetry_Int_Tables_number 1
loop_
_symmetry_equiv_pos_as_xyz
'x,y,z'
loop_
_atom_site_label
_atom_site_type_symbol
_atom_site_fract_x
_atom_site_fract_y
_atom_site_fract_z
Cd1 Cd 0.2434 0.4825 0.2231
Cd2 Cd 0.7566 0.5175 0.7769
N1 N 0.0305 0.0557 0.5885
N2 N 0.9695 0.9443 0.4115
F1 F 0.5000 0.0000 0.0000
# * raw formation energy: -21.4 kJ/mol of atoms